Record 1
The following is a DFT calculation (PBE-GGA) of a relaxed structure of ErMgZnIn.

The structure belongs to space group F-43m (No. 216); the cell edges are 7.0733, 7.0733 and 7.0733 Å and the angles 90.00°, 90.00° and 90.00°. The inequivalent atoms are Er at (0.0000, 0.0000, 0.0000), Mg at (0.0000, 0.0000, 0.5000), Zn at (0.2500, 0.2500, 0.7500) and In at (0.2500, 0.2500, 0.2500).

The crystal system is cubic. The value obtained for the density of states at the Fermi level is 5.151 states/eV/cell. The value obtained for the formation energy is -0.2937 eV/atom.



Record 2
The following is a DFT calculation (PBE-GGA) of a relaxed structure of FeAuCl2.

The structure belongs to space group I-4m2 (No. 119); the cell edges are 3.6825, 3.6825 and 11.9010 Å and the angles 90.00°, 90.00° and 90.00°. The inequivalent atoms are Fe at (0.0000, 0.0000, 0.0000), Au at (0.0000, 0.5000, 0.7500), Cl at (0.0000, 0.0000, 0.5000) and Cl at (0.0000, 0.5000, 0.2500).

The crystal system is tetragonal. The value obtained for the density of states at the Fermi level is 11.260 states/eV/cell. As for the uncorrected formation energy: 0.3002 eV/atom. The calculation puts the polymorph energy (0 for the lowest one) at 524 meV per atom.



Record 3
The following is a DFT calculation (PBE-GGA) of a relaxed structure of Pr2SnBPt6.

The structure belongs to space group Immm (No. 71); the cell edges are 6.6266, 6.6321 and 9.3657 Å and the angles 90.00°, 90.00° and 90.00°. The inequivalent atoms are Pr at (0.0000, 0.0000, 0.2501), Sn at (0.0000, 0.5000, 0.0000), B at (0.0000, 0.5000, 0.5000), Pt at (0.0000, 0.5000, 0.2771) and Pt at (0.2230, 0.2771, 0.5000).

The crystal system is orthorhombic. The value obtained for the density of states at the Fermi level is 14.584 states/eV/cell. The value obtained for the formation energy is -0.5780 eV/atom.



Record 4
The following is a DFT calculation (PBE-GGA) of a relaxed structure of ZrGeBiRu2.

The structure belongs to space group P4/mmm (No. 123); the cell edges are 4.5851, 4.5851 and 5.1830 Å and the angles 90.00°, 90.00° and 90.00°. The inequivalent atoms are Zr at (0.0000, 0.0000, 0.0000), Ge at (0.0000, 0.0000, 0.5000), Bi at (0.5000, 0.5000, 0.0000) and Ru at (0.0000, 0.5000, 0.5000).

The crystal system is tetragonal. The value obtained for the density of states at the Fermi level is 3.572 states/eV/cell. The value obtained for the formation energy is 0.5231 eV/atom. The calculation puts the polymorph energy (0 for the lowest one) at 0 meV per atom.



> Which formula does entry 4 have?

ZrGeBiRu2